No. 1
A geometry-optimized CaHg2Sb2 structure. Source: Alexandria, functional GGA-PBE.

Computed properties:
calculated total energy: -23.52 eV for the cell shown
space group: No. 127

abc: 8.1133 8.1133 4.3260
angles: 90.00 90.00 90.00
Element x y z (fractional)
1 Ca 0.0000 0.0000 0.0000
2 Ca 0.5000 0.5000 0.0000
3 Hg 0.1686 0.3314 0.5000
4 Hg 0.3314 0.8314 0.5000
5 Hg 0.6686 0.1686 0.5000
6 Hg 0.8314 0.6686 0.5000
7 Sb 0.1306 0.6306 0.0000
8 Sb 0.3694 0.1306 0.0000
9 Sb 0.6306 0.8694 0.0000
10 Sb 0.8694 0.3694 0.0000


No. 2
A geometry-optimized CaHgSb4 structure. Source: Alexandria, functional GGA-PBE.

Computed properties:
calculated total energy: -19.76 eV for the cell shown
space group: No. 216

abc: 6.3377 6.3377 6.3377
angles: 60.00 60.00 60.00
Element x y z (fractional)
1 Ca 0.0000 0.0000 0.0000
2 Hg 0.7500 0.7500 0.7500
3 Sb 0.3757 0.3757 0.3757
4 Sb 0.3757 0.3757 0.8730
5 Sb 0.3757 0.8730 0.3757
6 Sb 0.8730 0.3757 0.3757


No. 3
A geometry-optimized Ca2Hg5Sb structure. Source: Alexandria, functional GGA-PBE.

Computed properties:
calculated total energy: -25.92 eV for the cell shown
space group: No. 55

abc: 6.7308 13.4698 4.6641
angles: 90.00 90.00 90.00
Element x y z (fractional)
1 Ca 0.2121 0.1198 0.0000
2 Ca 0.2879 0.6198 0.0000
3 Ca 0.7121 0.3802 0.0000
4 Ca 0.7879 0.8802 0.0000
5 Hg 0.0000 0.5000 0.5000
6 Hg 0.0704 0.7585 0.5000
7 Hg 0.1988 0.3704 0.0000
8 Hg 0.3012 0.8704 0.0000
9 Hg 0.4296 0.2585 0.5000
10 Hg 0.5000 0.0000 0.5000
11 Hg 0.5704 0.7415 0.5000
12 Hg 0.6988 0.1296 0.0000
13 Hg 0.8012 0.6296 0.0000
14 Hg 0.9296 0.2415 0.5000
15 Sb 0.0000 0.0000 0.5000
16 Sb 0.5000 0.5000 0.5000


No. 4
A geometry-optimized Ca4Hg4Sb5 structure. Source: Alexandria, functional GGA-PBE.

Computed properties:
calculated total energy: -35.96 eV for the cell shown
space group: No. 87

abc: 9.0654 9.0654 9.0654
angles: 93.74 93.74 150.41
Element x y z (fractional)
1 Ca 0.1235 0.2226 0.3462
2 Ca 0.2226 0.8765 0.0991
3 Ca 0.7774 0.1235 0.9009
4 Ca 0.8765 0.7774 0.6538
5 Hg 0.0849 0.6056 0.6904
6 Hg 0.3944 0.0849 0.4793
7 Hg 0.6056 0.9151 0.5207
8 Hg 0.9151 0.3944 0.3096
9 Sb 0.0000 0.0000 0.0000
10 Sb 0.2891 0.4407 0.7298
11 Sb 0.4407 0.7109 0.1515
12 Sb 0.5593 0.2891 0.8485
13 Sb 0.7109 0.5593 0.2702


No. 5
A geometry-optimized Ca2ScHgSb structure. Source: Alexandria, functional GGA-PBE.

Computed properties:
calculated total energy: -12.37 eV for the cell shown
space group: No. 123

abc: 5.9122 5.9122 5.2294
angles: 90.00 90.00 90.00
Element x y z (fractional)
1 Ca 0.0000 0.5000 0.0000
2 Ca 0.5000 0.0000 0.0000
3 Sc 0.0000 0.0000 0.0000
4 Hg 0.0000 0.0000 0.5000
5 Sb 0.5000 0.5000 0.5000


No. 6
A geometry-optimized CaSmHgSb structure. Source: Alexandria, functional GGA-PBE.

Computed properties:
calculated total energy: -13.76 eV for the cell shown
space group: No. 216

abc: 5.3989 5.3989 5.3989
angles: 60.00 60.00 60.00
Element x y z (fractional)
1 Ca 0.0000 0.0000 0.0000
2 Sm 0.5000 0.5000 0.5000
3 Hg 0.7500 0.7500 0.7500
4 Sb 0.2500 0.2500 0.2500


No. 7
A geometry-optimized CaSnHgSb structure. Source: Alexandria, functional GGA-PBE.

Computed properties:
calculated total energy: -11.79 eV for the cell shown
space group: No. 216

abc: 5.3983 5.3983 5.3983
angles: 60.00 60.00 60.00
Element x y z (fractional)
1 Ca 0.0000 0.0000 0.0000
2 Sn 0.5000 0.5000 0.5000
3 Hg 0.2500 0.2500 0.2500
4 Sb 0.7500 0.7500 0.7500


No. 8
A geometry-optimized CaTbHgSb structure. Source: Alexandria, functional GGA-PBE.

Computed properties:
calculated total energy: -13.56 eV for the cell shown
space group: No. 216

abc: 5.3595 5.3595 5.3595
angles: 60.00 60.00 60.00
Element x y z (fractional)
1 Ca 0.0000 0.0000 0.0000
2 Tb 0.5000 0.5000 0.5000
3 Hg 0.2500 0.2500 0.2500
4 Sb 0.7500 0.7500 0.7500


No. 9
A geometry-optimized CaHgSbTe2 structure. Source: Alexandria, functional GGA-PBE.

Computed properties:
calculated total energy: -12.34 eV for the cell shown
space group: No. 123

abc: 5.7237 5.7237 5.4660
angles: 90.00 90.00 90.00
Element x y z (fractional)
1 Ca 0.0000 0.0000 0.0000
2 Hg 0.5000 0.5000 0.5000
3 Sb 0.5000 0.5000 0.0000
4 Te 0.0000 0.5000 0.5000
5 Te 0.5000 0.0000 0.5000


No. 10
A geometry-optimized CaHgSbTe2 structure. Source: Alexandria, functional GGA-PBE.

Computed properties:
calculated total energy: -11.62 eV for the cell shown
space group: No. 123

abc: 5.8267 5.8267 5.9419
angles: 90.00 90.00 90.00
Element x y z (fractional)
1 Ca 0.0000 0.0000 0.0000
2 Hg 0.5000 0.5000 0.5000
3 Sb 0.0000 0.0000 0.5000
4 Te 0.0000 0.5000 0.0000
5 Te 0.5000 0.0000 0.0000


No. 11
A geometry-optimized CaTlHg2Sb structure. Source: Alexandria, functional GGA-PBE.

Computed properties:
calculated total energy: -7.72 eV for the cell shown
space group: No. 123

abc: 5.4725 5.4725 6.1552
angles: 90.00 90.00 90.00
Element x y z (fractional)
1 Ca 0.0000 0.0000 0.0000
2 Tl 0.0000 0.0000 0.5000
3 Hg 0.0000 0.5000 0.5000
4 Hg 0.5000 0.0000 0.5000
5 Sb 0.5000 0.5000 0.0000


No. 12
A geometry-optimized CaVHgSb2 structure. Source: Alexandria, functional GGA-PBE.

Computed properties:
calculated total energy: -19.34 eV for the cell shown
space group: No. 123

abc: 5.0981 5.0981 5.8470
angles: 90.00 90.00 90.00
Element x y z (fractional)
1 Ca 0.0000 0.0000 0.0000
2 V 0.0000 0.0000 0.5000
3 Hg 0.5000 0.5000 0.0000
4 Sb 0.0000 0.5000 0.5000
5 Sb 0.5000 0.0000 0.5000